# 1
Pr2MgAl12Ni3 | GGA-PBE | optimized geometry

Output
- symmetry = No. 166
- M_tot (Bohr magnetons per cell) = 0.0
- calculated total energy (eV per atom) = -4.05
- V (Å³ per cell) = 379.7

Cell lengths 7.871, 7.871, 7.871 Å; angles 64.62, 64.62, 64.62 degrees
Fractional coordinates of all 18 atoms:
Pr 0.582 0.582 0.582
Pr 0.418 0.418 0.418
Mg 0.000 0.000 0.000
Al 0.257 0.257 0.887
Al 0.841 0.841 0.456
Al 0.456 0.841 0.841
Al 0.887 0.257 0.257
Al 0.841 0.456 0.841
Al 0.257 0.887 0.257
Al 0.743 0.743 0.113
Al 0.159 0.159 0.544
Al 0.544 0.159 0.159
Al 0.113 0.743 0.743
Al 0.159 0.544 0.159
Al 0.743 0.113 0.743
Ni 0.500 0.000 0.000
Ni 0.000 0.500 0.000
Ni 0.000 0.000 0.500

# 2
LaZr2Al | GGA-PBE | optimized geometry

Output
- symmetry = No. 12
- M_tot (Bohr magnetons per cell) = 0.0
- calculated total energy (eV per atom) = -6.54
- V (Å³ per cell) = 95.7

Cell lengths 5.616, 5.616, 5.661 Å; angles 78.12, 78.12, 33.27 degrees
Fractional coordinates of all 4 atoms:
Al 0.750 0.750 0.750
Zr 0.023 0.023 0.973
Zr 0.477 0.477 0.527
La 0.250 0.250 0.250

| no. | energy of formation from the pure elements (eV per atom) | density (g cm⁻³) |
| --- | --- | --- |
| 1 | 0.033 | 3.5 |
| 2 | -0.095 | 6.0 |